First-principles (PBE) data for crystalline BaLiNF2 at its relaxed geometry, as listed in the Alexandria database.

Properties
The energy relative to the lowest polymorph listed for this composition is 580 meV/atom. The formation energy from raw total energies comes out at -1.217 eV/atom.

a = 5.0404 Å, b = 5.0404 Å, c = 5.4431 Å
α = 90.00°, β = 90.00°, γ = 90.00°
With the nearest neighbours (Å) after each atom.
Sites, in units of the cell vectors:
N 0.0000 0.0000 0.5000  2 Ba 2.72
F 0.5000 0.0000 0.0000  2 Ba 2.52
F 0.0000 0.5000 0.0000  2 Ba 2.52
Ba 0.0000 0.0000 0.0000  4 F 2.52, 2 N 2.72
Li 0.5000 0.5000 0.5000  4 N 3.56, 8 F 3.71